First-principles (PBE) data for a relaxed structure of AsP2Os, as listed in the Alexandria database.

Output
VASP energy in eV/atom: -6.439
Formation energy from the elements in meV per atom: 236
Crystal system: trigonal

POSCAR file:
```
AsP2Os
1.0
1.499 0.866 8.089
-1.499 0.866 8.089
0.000 -1.731 8.089
As P Os
1 2 1
Cartesian
0.000 0.000 0.000
0.000 0.000 5.779
0.000 0.000 18.487
0.000 0.000 12.133
```